# Na4Np3CrN8 (PBE, optimized geometry)
data_Na4Np3CrN8
_chemical_formula_sum 'Na12 Np9 Cr3 N24'
_symmetry_space_group_name_H-M 'R -3 m'
_symmetry_Int_Tables_number 166
_symmetry_space_group_name_Hall '-R 3 2"'
_cell_length_a 6.7160
_cell_length_b 6.7160
_cell_length_c 16.9221
_cell_angle_alpha 90.00
_cell_angle_beta 90.00
_cell_angle_gamma 120.00
loop_
_atom_site_label
_atom_site_fract_x
_atom_site_fract_y
_atom_site_fract_z
Na1 0.0000 0.0000 0.0000
Na2 0.0000 0.5000 0.0000
Np1 0.0000 0.5000 0.5000
Cr1 0.0000 0.0000 0.5000
N1 0.0000 0.0000 0.2293
N2 0.0020 0.5010 0.7724
# E: -394.13 eV for the cell shown
# energy relative to the elements, uncorrected: -0.691 eV/atom
# size of the total moment: 21.0 Bohr magnetons per cell